First-principles (GGA+U) data for V2NiRhO8 after structural relaxation, as listed in Alexandria via LeMat-Bulk.

Calculated total energy in eV per cell: -80.01
Volume in Å³/atom: 12.9

abc: 5.6523 5.6523 5.5793
angles: 90.00 90.00 120.00
Site moments in Bohr magnetons follow the coordinates.
Element x y z (fractional)
V (0.6667, 0.3333, 0.3084)  -0.02
V (0.3333, 0.6667, 0.6916)  -0.02
Ni (0.0000, 0.0000, 0.5000)  1.78
Rh (0.0000, 0.0000, 0.0000)  0.49
O (0.8459, 0.1541, 0.2342)  0.09
O (0.8459, 0.6918, 0.2342)  0.09
O (0.3082, 0.1541, 0.2342)  0.09
O (0.6918, 0.8459, 0.7658)  0.09
O (0.3333, 0.6667, 0.4004)  0.03
O (0.6667, 0.3333, 0.5996)  0.03
O (0.1541, 0.8459, 0.7658)  0.09
O (0.1541, 0.3082, 0.7658)  0.09

First-principles (GGA+U) data for V2BO after structural relaxation, as listed in Alexandria via LeMat-Bulk.

Calculated total energy in eV per cell: -52.84
Volume in Å³/atom: 13.0

abc: 4.8071 4.8071 5.6474
angles: 64.81 64.81 90.00
Site moments in Bohr magnetons follow the coordinates.
Element x y z (fractional)
B (0.5000, 0.5000, 0.0000)  -0.21
B (0.2500, 0.7500, 0.5000)  -0.21
O (0.0000, 0.0000, 0.0000)  -0.06
O (0.7500, 0.2500, 0.5000)  -0.06
V (0.6413, 0.1250, 0.2500)  1.43
V (0.1087, 0.6250, 0.2500)  1.43
V (0.3750, 0.3587, 0.7500)  1.43
V (0.8750, 0.8913, 0.7500)  1.43

- Among the records above, which one has the highest volume?
  V2BO

- Which value of calculated total energy does entry 2 give?
  -52.84 eV per cell

- Look up the volume of the first one.
  12.9 Å³/atom

Repeat the first record exactly.
First-principles (GGA+U) data for V2NiRhO8 after structural relaxation, as listed in Alexandria via LeMat-Bulk.

Calculated total energy in eV per cell: -80.01
Volume in Å³/atom: 12.9

abc: 5.6523 5.6523 5.5793
angles: 90.00 90.00 120.00
Site moments in Bohr magnetons follow the coordinates.
Element x y z (fractional)
V (0.6667, 0.3333, 0.3084)  -0.02
V (0.3333, 0.6667, 0.6916)  -0.02
Ni (0.0000, 0.0000, 0.5000)  1.78
Rh (0.0000, 0.0000, 0.0000)  0.49
O (0.8459, 0.1541, 0.2342)  0.09
O (0.8459, 0.6918, 0.2342)  0.09
O (0.3082, 0.1541, 0.2342)  0.09
O (0.6918, 0.8459, 0.7658)  0.09
O (0.3333, 0.6667, 0.4004)  0.03
O (0.6667, 0.3333, 0.5996)  0.03
O (0.1541, 0.8459, 0.7658)  0.09
O (0.1541, 0.3082, 0.7658)  0.09